[1]
# CrP

A geometry-optimized CrP structure (PBE-GGA, Alexandria via LeMat-Bulk).

Structure (extended XYZ):
```
4
Lattice="2.8456 0.0000 0.0000 -1.4228 2.4643 0.0000 0.0000 0.0000 7.7645" Properties=species:S:1:pos:R:3 pbc="T T T"
Cr 0.0000 1.6429 0.2867
Cr 1.4228 0.8214 4.1689
P 0.0000 1.6429 2.5939
P 1.4228 0.8214 6.4762
```

Output
symmetry	No. 186
DOS(E_F)	5.271	states/eV per cell
calculated volume	54.45	Å³ per cell
VASP energy	-7.4412	eV per atom
ΔH_f (0 K)	0.075	eV/atom
size of the total moment	0.00	μB/f.u.

***

[2]
# Y2CuTe

A geometry-optimized Y2CuTe structure (PBE-GGA, Alexandria via LeMat-Bulk).

Structure (extended XYZ):
```
8
Lattice="7.7356 0.0000 0.0000 0.0000 7.7356 0.0000 3.8678 3.8678 3.6258" Properties=species:S:1:pos:R:3 pbc="T T T"
Y 5.5418 1.9339 0.9065
Y 2.1938 5.8017 0.9065
Y 5.8017 6.0617 2.7194
Y 9.6695 9.4096 2.7194
Te 0.0000 0.0000 0.0000
Te 7.7356 3.8678 1.8129
Cu 3.8678 3.8678 0.0000
Cu 3.8678 7.7356 1.8129
```

Output
symmetry	No. 122
formation energy without anion corrections	-0.463	eV/atom
DOS(E_F)	2.414	states/eV per cell
calculated volume	216.97	Å³ per cell
VASP energy	-5.5044	eV per atom
size of the total moment	0.00	μB/f.u.

***

[3]
# Sm4TmSc3

A geometry-optimized Sm4TmSc3 structure (PBE-GGA, Alexandria via LeMat-Bulk).

Structure (extended XYZ):
```
16
Lattice="-6.3081 -2.7929 -0.3149 2.1798 -5.3541 3.8193 -2.5425 4.8175 8.2046" Properties=species:S:1:pos:R:3 pbc="T T T"
Sm -1.9828 -0.8781 -0.0988
Sm -0.8937 -3.5535 1.8096
Sm -0.5051 -0.2943 2.9742
Sm -2.5529 -4.4073 4.7494
Sm -5.3178 -2.5442 5.7565
Sm -4.2284 -5.2195 7.6650
Sm -3.8253 -1.9964 8.8553
Sm -1.7752 2.1123 7.0728
Tm -4.0480 -4.9510 1.6526
Tm -2.1647 -1.1473 5.9134
Sc -5.1378 -2.2752 -0.2562
Sc 0.5971 -3.0012 4.9014
Sc -3.6552 -1.7004 2.8222
Sc -1.0755 -3.8234 7.8223
Sc -4.9260 0.7074 6.9228
Sc -0.6746 -0.5915 9.0053
```

Output
symmetry	No. 53
DOS(E_F)	22.169	states/eV per cell
calculated volume	471.22	Å³ per cell
VASP energy	-5.2431	eV per atom
ΔH_f (0 K)	0.050	eV/atom
size of the total moment	0.00	μB/f.u.
offset from the most stable computed form	0.000	eV per formula unit

***

[4]
# Ca2CeNdS4

A geometry-optimized Ca2CeNdS4 structure (PBE-GGA, Alexandria via LeMat-Bulk).

Structure (extended XYZ):
```
8
Lattice="-2.0123 3.4789 0.0982 -4.9415 -2.9685 3.9026 4.9702 2.7550 4.2505" Properties=species:S:1:pos:R:3 pbc="T T T"
Ca 1.4789 3.1170 2.1743
Ca 0.0143 -0.1068 4.0765
Ce -3.4769 0.2552 2.0004
Nd 0.0000 0.0000 0.0000
S -0.9852 1.6930 2.1254
S -0.9985 1.5724 6.1259
S 2.4681 1.3110 4.1328
S -2.4394 -1.5245 4.0202
```

Output
symmetry	No. 10
formation energy without anion corrections	-2.039	eV/atom
DOS(E_F)	7.203	states/eV per cell
calculated volume	187.69	Å³ per cell
VASP energy	-5.9403	eV per atom
size of the total moment	1.39	μB/f.u.

***

[5]
# Gd2TmPb

A geometry-optimized Gd2TmPb structure (PBE-GGA, Alexandria via LeMat-Bulk).

Structure (extended XYZ):
```
4
Lattice="-1.7000 -3.3882 -3.1211 3.4878 -3.0676 1.4304 -2.9368 -1.7217 3.4686" Properties=species:S:1:pos:R:3 pbc="T T T"
Pb -0.8500 -1.6941 -1.5606
Gd -1.4684 -0.8609 1.7343
Gd 1.7439 -1.5338 0.7152
Tm -0.5745 -4.0887 0.8889
```

Output
symmetry	No. 123
DOS(E_F)	5.251	states/eV per cell
calculated volume	115.99	Å³ per cell
VASP energy	-9.3920	eV per atom
ΔH_f (0 K)	-0.307	eV/atom
size of the total moment	15.66	μB/f.u.
offset from the most stable computed form	0.000	eV per formula unit

***

[6]
# Pm2ZnNi3Ge4

A geometry-optimized Pm2ZnNi3Ge4 structure (PBE-GGA, Alexandria via LeMat-Bulk).

Structure (extended XYZ):
```
10
Lattice="-1.1439 -0.9177 -3.8987 -0.7874 -3.9240 1.1546 -9.3397 2.5070 2.1503" Properties=species:S:1:pos:R:3 pbc="T T T"
Pm -2.8559 0.1542 -1.4235
Pm -7.4495 -0.0681 2.2018
Zn -5.6355 -1.1673 -0.2969
Ni -4.6698 1.2535 1.0751
Ni -8.8043 1.7509 -0.0540
Ni -1.5011 -1.6648 0.8323
Ge -0.9657 -2.4208 -1.3721
Ge 0.0000 0.0000 0.0000
Ge -6.5708 1.1514 -0.5683
Ge -3.7346 -1.0652 1.3465
```

Output
symmetry	No. 115
DOS(E_F)	4.575	states/eV per cell
calculated volume	171.89	Å³ per cell
VASP energy	-5.3159	eV per atom
ΔH_f (0 K)	-0.657	eV/atom
size of the total moment	0.00	μB/f.u.